{
  "formula": "Li2MgAl2Au5",
  "functional": "PBE",
  "state": "optimized geometry",
  "lattice_angstrom": [[3.683, 0.000, 0.000], [0.000, 9.965, 0.000], [0.000, 0.000, 9.965]],
  "species": ["Li", "Li", "Li", "Li", "Mg", "Mg", "Al", "Al", "Al", "Al", "Au", "Au", "Au", "Au", "Au", "Au", "Au", "Au", "Au", "Au"],
  "fractional_positions": [[0.000, 0.670, 0.170], [0.000, 0.330, 0.830], [0.000, 0.170, 0.330], [0.000, 0.830, 0.670], [0.000, 0.000, 0.000], [0.000, 0.500, 0.500], [0.000, 0.129, 0.629], [0.000, 0.871, 0.371], [0.000, 0.629, 0.871], [0.000, 0.371, 0.129], [0.500, 0.194, 0.084], [0.500, 0.806, 0.916], [0.500, 0.084, 0.806], [0.500, 0.694, 0.416], [0.500, 0.916, 0.194], [0.500, 0.306, 0.584], [0.500, 0.584, 0.694], [0.500, 0.416, 0.306], [0.500, 0.500, 0.000], [0.500, 0.000, 0.500]],
  "space_group": "P4/mbm (127)",
  "crystal_system": "tetragonal"
}

---

{
  "formula": "Sr2Ag2I",
  "functional": "PBE",
  "state": "optimized geometry",
  "lattice_angstrom": [[9.003, 0.000, 0.000], [0.000, 9.003, 0.000], [0.000, 0.000, 4.266]],
  "species": ["I", "I", "Sr", "Sr", "Sr", "Sr", "Ag", "Ag", "Ag", "Ag"],
  "fractional_positions": [[0.000, 0.000, 0.000], [0.500, 0.500, 0.000], [0.323, 0.823, 0.000], [0.823, 0.677, 0.000], [0.677, 0.177, 0.000], [0.177, 0.323, 0.000], [0.112, 0.612, 0.500], [0.612, 0.888, 0.500], [0.888, 0.388, 0.500], [0.388, 0.112, 0.500]],
  "space_group": "P4/mbm (127)",
  "crystal_system": "tetragonal",
  "e_above_lowest_polymorph_ev_per_atom": 0.0000,
  "formation_energy_uncorrected_ev_per_atom": -0.537
}

---

{
  "formula": "Ca2Ti2Cr",
  "functional": "PBE",
  "state": "optimized geometry",
  "lattice_angstrom": [[9.117, 0.000, 0.000], [0.000, 9.117, 0.000], [0.000, 0.000, 3.228]],
  "species": ["Cr", "Cr", "Ca", "Ca", "Ca", "Ca", "Ti", "Ti", "Ti", "Ti"],
  "fractional_positions": [[0.000, 0.000, 0.000], [0.500, 0.500, 0.000], [0.301, 0.801, 0.000], [0.801, 0.699, 0.000], [0.699, 0.199, 0.000], [0.199, 0.301, 0.000], [0.088, 0.588, 0.500], [0.588, 0.912, 0.500], [0.912, 0.412, 0.500], [0.412, 0.088, 0.500]],
  "space_group": "P4/mbm (127)",
  "crystal_system": "tetragonal",
  "e_above_lowest_polymorph_ev_per_atom": 0.3110
}

---

{
  "formula": "MnCdAsBr2",
  "functional": "PBE",
  "state": "optimized geometry",
  "lattice_angstrom": [[-5.019, 0.784, 0.881], [-0.592, -5.006, 1.087], [0.907, 0.850, 4.411]],
  "species": ["As", "Mn", "Br", "Br", "Cd"],
  "fractional_positions": [[0.000, 0.000, 0.500], [0.000, 0.000, 0.000], [0.000, 0.500, 0.000], [0.500, 0.000, 0.000], [0.500, 0.500, 0.500]],
  "space_group": "P4/mmm (123)",
  "crystal_system": "tetragonal",
  "e_above_lowest_polymorph_ev_per_atom": 0.0000,
  "formation_energy_uncorrected_ev_per_atom": 0.215
}

---

{
  "formula": "PuPa2Co4Si3",
  "functional": "PBE",
  "state": "optimized geometry",
  "lattice_angstrom": [[4.078, 0.000, 0.000], [0.000, 4.078, 0.000], [0.000, 0.000, 9.524]],
  "species": ["Pu", "Pa", "Pa", "Co", "Co", "Co", "Co", "Si", "Si", "Si"],
  "fractional_positions": [[0.500, 0.500, 0.500], [0.500, 0.000, 0.233], [0.000, 0.500, 0.767], [0.500, 0.500, 0.000], [0.000, 0.000, 0.000], [0.500, 0.000, 0.644], [0.000, 0.500, 0.356], [0.000, 0.000, 0.500], [0.500, 0.000, 0.880], [0.000, 0.500, 0.120]],
  "space_group": "P-4m2 (115)",
  "crystal_system": "tetragonal",
  "formation_energy_uncorrected_ev_per_atom": -0.578
}

---

{
  "formula": "PrDyBi2",
  "functional": "PBE",
  "state": "optimized geometry",
  "lattice_angstrom": [[4.527, 0.000, 0.000], [2.263, 3.920, 0.000], [2.263, 1.307, 7.751]],
  "species": ["Pr", "Dy", "Bi", "Bi"],
  "fractional_positions": [[0.669, 0.669, 0.994], [0.498, 0.498, 0.506], [0.085, 0.085, 0.744], [0.248, 0.248, 0.256]],
  "space_group": "R3m (160)",
  "crystal_system": "trigonal",
  "e_above_lowest_polymorph_ev_per_atom": 0.1152
}

---

{
  "formula": "TbErZnCo",
  "functional": "PBE",
  "state": "optimized geometry",
  "lattice_angstrom": [[-0.860, 0.778, 3.658], [-4.084, -0.798, -0.791], [1.174, -5.432, -0.582]],
  "species": ["Tb", "Er", "Zn", "Co"],
  "fractional_positions": [[0.142, 0.000, 0.283], [0.859, 0.500, 0.719], [0.565, 0.500, 0.131], [0.433, 0.000, 0.867]],
  "space_group": "Amm2 (38)",
  "crystal_system": "orthorhombic",
  "e_above_lowest_polymorph_ev_per_atom": 0.0000
}

---

{
  "formula": "Tm4TlTe2Se",
  "functional": "PBE",
  "state": "optimized geometry",
  "lattice_angstrom": [[4.198, 0.000, 0.000], [0.000, 7.465, -0.201], [0.000, 2.578, 6.926]],
  "species": ["Tm", "Tm", "Tm", "Tm", "Tl", "Te", "Te", "Se"],
  "fractional_positions": [[0.000, 0.726, 0.759], [0.000, 0.274, 0.241], [0.500, 0.735, 0.253], [0.500, 0.265, 0.747], [0.000, 0.500, 0.500], [0.000, 0.000, 0.000], [0.500, 0.000, 0.500], [0.500, 0.500, 0.000]],
  "space_group": "P2/m (10)",
  "crystal_system": "monoclinic",
  "formation_energy_uncorrected_ev_per_atom": -1.092
}

---

| no. | E (eV/atom) |
| --- | --- |
| 1 | -3.349 |
| 2 | -2.661 |
| 3 | -4.896 |
| 4 | -3.401 |
| 5 | -8.379 |
| 6 | -5.077 |
| 7 | -4.634 |
| 8 | -4.844 |